No. 1
An optimized crystal structure of Dy3Ga9Au2, computed with PBE-GGA.

a b c (Å): 4.2478 8.3087 8.3087
angles (deg): 76.29 75.19 75.19
Atoms (fractional coordinates):
Dy1 0.0000 0.0000 0.0000
Dy2 0.6797 0.3203 0.3203
Dy3 0.3203 0.6797 0.6797
Ga1 0.0000 0.5000 0.5000
Ga2 0.6655 0.9566 0.7124
Ga3 0.3345 0.0434 0.2876
Ga4 0.6655 0.7124 0.9566
Ga5 0.3345 0.2876 0.0434
Ga6 0.8603 0.8652 0.4142
Ga7 0.1397 0.1348 0.5858
Ga8 0.8603 0.4142 0.8652
Ga9 0.1397 0.5858 0.1348
Au1 0.5000 0.2836 0.7164
Au2 0.5000 0.7164 0.2836



No. 2
An optimized crystal structure of DyGaAu, computed with PBE-GGA.

a b c (Å): 4.6600 4.6600 4.6600
angles (deg): 60.00 60.00 60.00
Atoms (fractional coordinates):
Au1 0.2500 0.2500 0.2500
Ga1 0.0000 0.0000 0.0000
Dy1 0.5000 0.5000 0.5000



| no. | formation energy from the elements (eV/atom) | final energy (eV per formula unit) |
| --- | --- | --- |
| 1 | -0.533 | -55.1 |
| 2 | -0.633 | -12.8 |